# 1
AlFe5: single point on PBEsol structure, meta-GGA SCAN.

abc: 2.826 11.846 3.975
angles: 90.00 90.00 90.00
Space group Cmmm (No. 65)
Symmetry-distinct sites (fractional):
Al (0.000, 0.000, 0.000) (multiplicity 2)
Fe (0.000, 0.165, 0.500) (multiplicity 4)
Fe (0.000, 0.328, 0.000) (multiplicity 4)
Fe (0.000, 0.500, 0.500) (multiplicity 2)

Summary:
mass density	7.64	Mg/m³
energy above the lowest structure with this stoichiometry	3.9	meV/atom
density of states at the Fermi level	0.710	states/eV per atom
ΔH_f (0 K)	-0.8	eV/f.u.
crystal system	orthorhombic

# 2
AlFe2: single point on PBEsol structure, meta-GGA SCAN.

abc: 2.818 11.982 3.934
angles: 90.00 90.00 90.00
Space group Cmcm (No. 63)
Symmetry-distinct sites (fractional):
Al (0.000, 0.082, 0.250) (multiplicity 4)
Fe (0.000, 0.246, 0.750) (multiplicity 4)
Fe (0.000, 0.411, 0.250) (multiplicity 4)

Summary:
mass density	6.93	Mg/m³
density of states at the Fermi level	0.736	states/eV per atom
ΔH_f (0 K)	-0.6	eV/f.u.
crystal system	orthorhombic

Copy entry 2 word for word.
AlFe2: single point on PBEsol structure, meta-GGA SCAN.

abc: 2.818 11.982 3.934
angles: 90.00 90.00 90.00
Space group Cmcm (No. 63)
Symmetry-distinct sites (fractional):
Al (0.000, 0.082, 0.250) (multiplicity 4)
Fe (0.000, 0.246, 0.750) (multiplicity 4)
Fe (0.000, 0.411, 0.250) (multiplicity 4)

Summary:
mass density	6.93	Mg/m³
density of states at the Fermi level	0.736	states/eV per atom
ΔH_f (0 K)	-0.6	eV/f.u.
crystal system	orthorhombic